A plane-wave DFT calculation with GGA-PBEsol was carried out for Mn3TlPb after structural relaxation.

Results
ΔE_f: 6.5 eV/f.u.
electronic total energy: -5.8868 eV per atom

abc: 5.073 5.073 5.073
angles: 90.00 90.00 90.00
Last column: magnetic moment on the atom in μB.
Fractional positions:
Mn: 0.000 0.500 0.000  3.96
Mn: 0.500 0.000 0.000  3.96
Mn: 0.000 0.000 0.500  3.96
Tl: 0.500 0.500 0.500  -0.07
Pb: 0.000 0.000 0.000  -0.09

A plane-wave DFT calculation with GGA-PBEsol was carried out for HgPtSe2 after structural relaxation.

Results
electronic total energy: -4.0232 eV per atom
raw formation energy: -0.22 eV/atom
energy above the most stable polymorph in this dataset: 36.9 meV/atom

abc: 3.664 4.560 6.329
angles: 105.30 90.00 113.69
Fractional positions:
Pt: 0.500 0.000 0.000
Se: 0.838 0.677 0.784
Se: 0.162 0.323 0.216
Hg: 0.000 0.000 0.500

A plane-wave DFT calculation with GGA-PBEsol was carried out for Rb3MgH5 after structural relaxation.

Results
electronic total energy: -2.5615 eV per atom

abc: 7.775 8.200 7.775
angles: 61.70 90.00 118.30
Fractional positions:
Mg: 0.250 0.500 0.250
Mg: 0.750 0.500 0.750
H: 0.024 0.313 0.476
H: 0.476 0.687 0.290
H: 0.710 0.687 0.790
H: 0.500 0.000 0.500
H: 0.976 0.687 0.524
H: 0.210 0.687 0.024
H: 0.790 0.313 0.976
H: 0.524 0.313 0.710
H: 0.290 0.313 0.210
H: 0.000 0.000 0.000
Rb: 0.250 0.500 0.750
Rb: 0.822 0.000 0.322
Rb: 0.322 0.000 0.178
Rb: 0.750 0.500 0.250
Rb: 0.178 0.000 0.678
Rb: 0.678 0.000 0.822

A plane-wave DFT calculation with GGA-PBEsol was carried out for P2WO8 after structural relaxation.

Results
electronic total energy: -8.1419 eV per atom
raw formation energy: -2.02 eV/atom
energy above the most stable polymorph in this dataset: 76.5 meV/atom

abc: 5.180 7.162 8.106
angles: 90.00 90.01 90.00
Fractional positions:
O: 0.000 0.170 0.818
O: 0.000 0.529 0.834
O: 0.261 0.144 0.106
O: 0.500 0.330 0.318
O: 0.500 0.971 0.334
O: 0.739 0.856 0.894
O: 0.500 0.670 0.682
O: 0.500 0.029 0.666
O: 0.000 0.830 0.182
O: 0.762 0.644 0.394
O: 0.239 0.644 0.394
O: 0.761 0.356 0.606
O: 0.262 0.856 0.894
O: 0.738 0.144 0.106
O: 0.000 0.471 0.166
O: 0.238 0.356 0.606
W: 0.500 0.500 0.500
W: 0.000 0.000 0.000
P: 0.500 0.864 0.773
P: 0.500 0.136 0.227
P: 0.000 0.364 0.727
P: 0.000 0.636 0.273